# 1
Material: Zr4Ag
Method: DFT, GGA-PBEsol
State: relaxed

- energy above the most stable polymorph in this dataset (eV/atom) = 0.0395
- formation energy from the elements (eV per atom) = -0.0186
- M_tot (μB/f.u.) = 0.00
- E_tot (eV per formula unit) = -39.76
- DOS at the Fermi energy (states/eV/atom) = 1.11

```
data_Zr4Ag
_chemical_formula_sum 'Zr8 Ag2'
_cell_length_a 10.8877
_cell_length_b 3.2031
_cell_length_c 7.7109
_cell_angle_alpha 90.00
_cell_angle_beta 128.71
_cell_angle_gamma 90.00
_symmetry_space_group_name_H-M 'P 1'
_symmetry_Int_Tables_number 1
loop_
_symmetry_equiv_pos_as_xyz
'x,y,z'
loop_
_atom_site_label
_atom_site_type_symbol
_atom_site_fract_x
_atom_site_fract_y
_atom_site_fract_z
Zr1 Zr 0.0866 0.0000 0.3842
Zr2 Zr 0.2143 0.5000 0.8021
Zr3 Zr 0.2857 0.0000 0.1979
Zr4 Zr 0.4134 0.5000 0.6158
Zr5 Zr 0.5866 0.5000 0.3842
Zr6 Zr 0.7143 0.0000 0.8021
Zr7 Zr 0.7857 0.5000 0.1979
Zr8 Zr 0.9134 0.0000 0.6158
Ag1 Ag 0.0000 0.5000 0.0000
Ag2 Ag 0.5000 0.0000 0.0000
```

***

# 2
Material: Zr3Ag2
Method: DFT, GGA-PBEsol
State: relaxed

- energy above the most stable polymorph in this dataset (eV/atom) = 0.0383
- formation energy from the elements (eV per atom) = -0.0420
- M_tot (μB/f.u.) = 0.00
- E_tot (eV per formula unit) = -34.10
- DOS at the Fermi energy (states/eV/atom) = 0.96

```
data_Zr3Ag2
_chemical_formula_sum 'Zr6 Ag4'
_cell_length_a 10.0704
_cell_length_b 3.1190
_cell_length_c 7.3653
_cell_angle_alpha 90.00
_cell_angle_beta 120.94
_cell_angle_gamma 90.00
_symmetry_space_group_name_H-M 'P 1'
_symmetry_Int_Tables_number 1
loop_
_symmetry_equiv_pos_as_xyz
'x,y,z'
loop_
_atom_site_label
_atom_site_type_symbol
_atom_site_fract_x
_atom_site_fract_y
_atom_site_fract_z
Zr1 Zr 0.0000 0.0000 0.0000
Zr2 Zr 0.1828 0.0000 0.7889
Zr3 Zr 0.3172 0.5000 0.2111
Zr4 Zr 0.5000 0.5000 0.0000
Zr5 Zr 0.6828 0.5000 0.7889
Zr6 Zr 0.8172 0.0000 0.2111
Ag1 Ag 0.1124 0.5000 0.4071
Ag2 Ag 0.3876 0.0000 0.5929
Ag3 Ag 0.6124 0.0000 0.4071
Ag4 Ag 0.8876 0.5000 0.5929
```

***

# 3
Material: Zr2Ag3
Method: DFT, GGA-PBEsol
State: relaxed

- energy above the most stable polymorph in this dataset (eV/atom) = 0.0000
- formation energy from the elements (eV per atom) = -0.0764
- M_tot (μB/f.u.) = 0.00
- E_tot (eV per formula unit) = -28.50
- DOS at the Fermi energy (states/eV/atom) = 0.74

```
data_Zr2Ag3
_chemical_formula_sum 'Zr4 Ag6'
_cell_length_a 2.9227
_cell_length_b 4.1791
_cell_length_c 15.0615
_cell_angle_alpha 90.00
_cell_angle_beta 90.00
_cell_angle_gamma 90.00
_symmetry_space_group_name_H-M 'P 1'
_symmetry_Int_Tables_number 1
loop_
_symmetry_equiv_pos_as_xyz
'x,y,z'
loop_
_atom_site_label
_atom_site_type_symbol
_atom_site_fract_x
_atom_site_fract_y
_atom_site_fract_z
Zr1 Zr 0.0000 0.0000 0.1038
Zr2 Zr 0.0000 0.0000 0.8962
Zr3 Zr 0.5000 0.5000 0.3962
Zr4 Zr 0.5000 0.5000 0.6038
Ag1 Ag 0.0000 0.0000 0.2972
Ag2 Ag 0.0000 0.0000 0.5000
Ag3 Ag 0.0000 0.0000 0.7028
Ag4 Ag 0.5000 0.5000 0.0000
Ag5 Ag 0.5000 0.5000 0.2028
Ag6 Ag 0.5000 0.5000 0.7972
```

***

# 4
Material: ZrAg2
Method: DFT, GGA-PBEsol
State: relaxed

- energy above the most stable polymorph in this dataset (eV/atom) = 0.1522
- formation energy from the elements (eV per atom) = 0.0295
- M_tot (μB/f.u.) = 0.00
- E_tot (eV per formula unit) = -15.62
- DOS at the Fermi energy (states/eV/atom) = 0.66

```
data_ZrAg2
_chemical_formula_sum 'Zr4 Ag8'
_cell_length_a 12.3511
_cell_length_b 3.0020
_cell_length_c 6.1613
_cell_angle_alpha 90.00
_cell_angle_beta 104.95
_cell_angle_gamma 90.00
_symmetry_space_group_name_H-M 'P 1'
_symmetry_Int_Tables_number 1
loop_
_symmetry_equiv_pos_as_xyz
'x,y,z'
loop_
_atom_site_label
_atom_site_type_symbol
_atom_site_fract_x
_atom_site_fract_y
_atom_site_fract_z
Zr1 Zr 0.1708 0.0000 0.3243
Zr2 Zr 0.3292 0.5000 0.6757
Zr3 Zr 0.6708 0.5000 0.3243
Zr4 Zr 0.8292 0.0000 0.6757
Ag1 Ag 0.0000 0.5000 0.0000
Ag2 Ag 0.0000 0.5000 0.5000
Ag3 Ag 0.1592 0.0000 0.8342
Ag4 Ag 0.3408 0.5000 0.1658
Ag5 Ag 0.5000 0.0000 0.0000
Ag6 Ag 0.5000 0.0000 0.5000
Ag7 Ag 0.6592 0.5000 0.8342
Ag8 Ag 0.8408 0.0000 0.1658
```

***

# 5
Material: Zr2Ag3
Method: DFT, GGA-PBEsol
State: relaxed

- energy above the most stable polymorph in this dataset (eV/atom) = 0.0251
- formation energy from the elements (eV per atom) = -0.0513
- M_tot (μB/f.u.) = 0.00
- E_tot (eV per formula unit) = -28.37
- DOS at the Fermi energy (states/eV/atom) = 0.86

```
data_Zr2Ag3
_chemical_formula_sum 'Zr4 Ag6'
_cell_length_a 2.9584
_cell_length_b 2.9584
_cell_length_c 21.0062
_cell_angle_alpha 90.00
_cell_angle_beta 90.00
_cell_angle_gamma 90.00
_symmetry_space_group_name_H-M 'P 1'
_symmetry_Int_Tables_number 1
loop_
_symmetry_equiv_pos_as_xyz
'x,y,z'
loop_
_atom_site_label
_atom_site_type_symbol
_atom_site_fract_x
_atom_site_fract_y
_atom_site_fract_z
Zr1 Zr 0.0000 0.0000 0.1017
Zr2 Zr 0.0000 0.0000 0.8983
Zr3 Zr 0.5000 0.5000 0.3983
Zr4 Zr 0.5000 0.5000 0.6017
Ag1 Ag 0.0000 0.0000 0.2961
Ag2 Ag 0.0000 0.0000 0.5000
Ag3 Ag 0.0000 0.0000 0.7039
Ag4 Ag 0.5000 0.5000 0.0000
Ag5 Ag 0.5000 0.5000 0.2039
Ag6 Ag 0.5000 0.5000 0.7961
```

***

# 6
Material: Zr2Ag3
Method: DFT, GGA-PBEsol
State: relaxed

- energy above the most stable polymorph in this dataset (eV/atom) = 0.0399
- formation energy from the elements (eV per atom) = -0.0365
- M_tot (μB/f.u.) = 0.00
- E_tot (eV per formula unit) = -28.30
- DOS at the Fermi energy (states/eV/atom) = 0.72

```
data_Zr2Ag3
_chemical_formula_sum 'Zr4 Ag6'
_cell_length_a 9.8667
_cell_length_b 3.2417
_cell_length_c 7.2049
_cell_angle_alpha 90.00
_cell_angle_beta 125.35
_cell_angle_gamma 90.00
_symmetry_space_group_name_H-M 'P 1'
_symmetry_Int_Tables_number 1
loop_
_symmetry_equiv_pos_as_xyz
'x,y,z'
loop_
_atom_site_label
_atom_site_type_symbol
_atom_site_fract_x
_atom_site_fract_y
_atom_site_fract_z
Zr1 Zr 0.1956 0.0000 0.2897
Zr2 Zr 0.3044 0.5000 0.7103
Zr3 Zr 0.6956 0.5000 0.2897
Zr4 Zr 0.8044 0.0000 0.7103
Ag1 Ag 0.0000 0.0000 0.5000
Ag2 Ag 0.1013 0.5000 0.8887
Ag3 Ag 0.3987 0.0000 0.1113
Ag4 Ag 0.5000 0.5000 0.5000
Ag5 Ag 0.6013 0.0000 0.8887
Ag6 Ag 0.8987 0.5000 0.1113
```

***

# 7
Material: Al
Method: DFT, GGA-PBEsol
State: relaxed

- energy above the most stable polymorph in this dataset (eV/atom) = 0.0000
- formation energy from the elements (eV per atom) = 0.0000
- M_tot (μB/f.u.) = 0.00
- E_tot (eV per formula unit) = -4.09
- DOS at the Fermi energy (states/eV/atom) = 0.39

```
data_Al
_chemical_formula_sum 'Al4'
_cell_length_a 4.0130
_cell_length_b 4.0130
_cell_length_c 4.0130
_cell_angle_alpha 90.00
_cell_angle_beta 90.00
_cell_angle_gamma 90.00
_symmetry_space_group_name_H-M 'P 1'
_symmetry_Int_Tables_number 1
loop_
_symmetry_equiv_pos_as_xyz
'x,y,z'
loop_
_atom_site_label
_atom_site_type_symbol
_atom_site_fract_x
_atom_site_fract_y
_atom_site_fract_z
Al1 Al 0.0000 0.0000 0.0000
Al2 Al 0.0000 0.5000 0.5000
Al3 Al 0.5000 0.0000 0.5000
Al4 Al 0.5000 0.5000 0.0000
```

***

# 8
Material: Al
Method: DFT, GGA-PBEsol
State: relaxed

- energy above the most stable polymorph in this dataset (eV/atom) = 0.0828
- formation energy from the elements (eV per atom) = 0.0828
- M_tot (μB/f.u.) = 0.00
- E_tot (eV per formula unit) = -4.01
- DOS at the Fermi energy (states/eV/atom) = 0.49

```
data_Al
_chemical_formula_sum 'Al8'
_cell_length_a 5.1040
_cell_length_b 5.1040
_cell_length_c 5.1040
_cell_angle_alpha 90.00
_cell_angle_beta 90.00
_cell_angle_gamma 90.00
_symmetry_space_group_name_H-M 'P 1'
_symmetry_Int_Tables_number 1
loop_
_symmetry_equiv_pos_as_xyz
'x,y,z'
loop_
_atom_site_label
_atom_site_type_symbol
_atom_site_fract_x
_atom_site_fract_y
_atom_site_fract_z
Al1 Al 0.0000 0.0000 0.0000
Al2 Al 0.0000 0.2500 0.5000
Al3 Al 0.0000 0.7500 0.5000
Al4 Al 0.2500 0.5000 0.0000
Al5 Al 0.5000 0.0000 0.2500
Al6 Al 0.5000 0.0000 0.7500
Al7 Al 0.5000 0.5000 0.5000
Al8 Al 0.7500 0.5000 0.0000
```

***

# 9
Material: Al
Method: DFT, GGA-PBEsol
State: relaxed

- energy above the most stable polymorph in this dataset (eV/atom) = 0.0766
- formation energy from the elements (eV per atom) = 0.0766
- M_tot (μB/f.u.) = 0.00
- E_tot (eV per formula unit) = -4.01
- DOS at the Fermi energy (states/eV/atom) = 0.42

```
data_Al
_chemical_formula_sum 'Al2'
_cell_length_a 2.7931
_cell_length_b 4.8817
_cell_length_c 2.8057
_cell_angle_alpha 90.00
_cell_angle_beta 119.55
_cell_angle_gamma 90.00
_symmetry_space_group_name_H-M 'P 1'
_symmetry_Int_Tables_number 1
loop_
_symmetry_equiv_pos_as_xyz
'x,y,z'
loop_
_atom_site_label
_atom_site_type_symbol
_atom_site_fract_x
_atom_site_fract_y
_atom_site_fract_z
Al1 Al 0.0000 0.0000 0.0000
Al2 Al 0.5000 0.5000 0.0000
```

***

# 10
Material: Al
Method: DFT, GGA-PBEsol
State: relaxed

- energy above the most stable polymorph in this dataset (eV/atom) = 0.0827
- formation energy from the elements (eV per atom) = 0.0827
- M_tot (μB/f.u.) = 0.00
- E_tot (eV per formula unit) = -4.01
- DOS at the Fermi energy (states/eV/atom) = 0.42

```
data_Al
_chemical_formula_sum 'Al100'
_cell_length_a 11.7798
_cell_length_b 11.8209
_cell_length_c 12.3035
_cell_angle_alpha 86.20
_cell_angle_beta 85.76
_cell_angle_gamma 82.23
_symmetry_space_group_name_H-M 'P 1'
_symmetry_Int_Tables_number 1
loop_
_symmetry_equiv_pos_as_xyz
'x,y,z'
loop_
_atom_site_label
_atom_site_type_symbol
_atom_site_fract_x
_atom_site_fract_y
_atom_site_fract_z
Al1 Al 0.0000 0.0000 0.0000
Al2 Al 0.9996 0.6165 0.8846
Al3 Al 0.0170 0.4018 0.0784
Al4 Al 0.0243 0.4692 0.4790
Al5 Al 0.0276 0.8778 0.3938
Al6 Al 0.0352 0.1089 0.3348
Al7 Al 0.0477 0.8020 0.1349
Al8 Al 0.0604 0.9995 0.7723
Al9 Al 0.0640 0.6365 0.2986
Al10 Al 0.0676 0.2168 0.6583
Al11 Al 0.0758 0.5540 0.6797
Al12 Al 0.0993 0.0345 0.5407
Al13 Al 0.1038 0.3863 0.8559
Al14 Al 0.1228 0.1875 0.0282
Al15 Al 0.1235 0.7900 0.9168
Al16 Al 0.1400 0.6720 0.4970
Al17 Al 0.1485 0.4177 0.2544
Al18 Al 0.1481 0.5916 0.0690
Al19 Al 0.1569 0.2525 0.4405
Al20 Al 0.1593 0.9881 0.1634
Al21 Al 0.1890 0.7570 0.6989
Al22 Al 0.2131 0.1691 0.8122
Al23 Al 0.2251 0.7893 0.2886
Al24 Al 0.2314 0.3511 0.6374
Al25 Al 0.2356 0.5699 0.8503
Al26 Al 0.2368 0.1834 0.2253
Al27 Al 0.2391 0.9735 0.9404
Al28 Al 0.2518 0.3707 0.0453
Al29 Al 0.2554 0.8547 0.4886
Al30 Al 0.2609 0.4651 0.4343
Al31 Al 0.2841 0.9625 0.6925
Al32 Al 0.2901 0.7749 0.0714
Al33 Al 0.3071 0.5785 0.2323
Al34 Al 0.3186 0.5551 0.6318
Al35 Al 0.3297 0.0554 0.4808
Al36 Al 0.3504 0.1580 0.9823
Al37 Al 0.3534 0.3477 0.8317
Al38 Al 0.3574 0.9677 0.2775
Al39 Al 0.3579 0.7762 0.8474
Al40 Al 0.3820 0.3461 0.2430
Al41 Al 0.3838 0.6534 0.4285
Al42 Al 0.3850 0.5547 0.0149
Al43 Al 0.3941 0.1535 0.6644
Al44 Al 0.3954 0.2566 0.4543
Al45 Al 0.4265 0.7611 0.6260
Al46 Al 0.4444 0.9391 0.0564
Al47 Al 0.4580 0.9857 0.8241
Al48 Al 0.4626 0.7469 0.2227
Al49 Al 0.4709 0.5611 0.7987
Al50 Al 0.4748 0.3545 0.6298
Al51 Al 0.4757 0.1295 0.1624
Al52 Al 0.4888 0.3325 0.0358
Al53 Al 0.5027 0.4391 0.4044
Al54 Al 0.5028 0.8441 0.4196
Al55 Al 0.5266 0.7226 0.9971
Al56 Al 0.5388 0.5133 0.1886
Al57 Al 0.5415 0.0733 0.3622
Al58 Al 0.5433 0.9696 0.5918
Al59 Al 0.5578 0.5550 0.5825
Al60 Al 0.5772 0.1256 0.9461
Al61 Al 0.5912 0.3371 0.8278
Al62 Al 0.5961 0.7609 0.7723
Al63 Al 0.6174 0.2830 0.2293
Al64 Al 0.6183 0.1328 0.7233
Al65 Al 0.6220 0.8980 0.2151
Al66 Al 0.6267 0.1941 0.5032
Al67 Al 0.6268 0.5017 0.9757
Al68 Al 0.6287 0.6288 0.3713
Al69 Al 0.6535 0.8980 0.9215
Al70 Al 0.6715 0.7489 0.5597
Al71 Al 0.6899 0.6730 0.1524
Al72 Al 0.7043 0.5282 0.7595
Al73 Al 0.7090 0.3387 0.6298
Al74 Al 0.7164 0.0816 0.1285
Al75 Al 0.7283 0.9213 0.4143
Al76 Al 0.7288 0.3801 0.3913
Al77 Al 0.7339 0.2737 0.9965
Al78 Al 0.7516 0.9244 0.6887
Al79 Al 0.7642 0.6763 0.9283
Al80 Al 0.7788 0.4323 0.1493
Al81 Al 0.7878 0.1534 0.3325
Al82 Al 0.7931 0.5287 0.5394
Al83 Al 0.8011 0.0579 0.8976
Al84 Al 0.8219 0.8597 0.0623
Al85 Al 0.8439 0.7755 0.2738
Al86 Al 0.8528 0.1476 0.6970
Al87 Al 0.8533 0.6811 0.7057
Al88 Al 0.8578 0.5502 0.3190
Al89 Al 0.8612 0.4445 0.9196
Al90 Al 0.8667 0.0349 0.5125
Al91 Al 0.9018 0.7109 0.4807
Al92 Al 0.9064 0.8442 0.8452
Al93 Al 0.9090 0.2011 0.1254
Al94 Al 0.9096 0.2634 0.5034
Al95 Al 0.9124 0.9830 0.2211
Al96 Al 0.9149 0.4012 0.7013
Al97 Al 0.9154 0.6232 0.1020
Al98 Al 0.9496 0.3299 0.2919
Al99 Al 0.9542 0.2165 0.8761
Al100 Al 0.9861 0.8482 0.6227
```

***

# 11
Material: Al
Method: DFT, GGA-PBEsol
State: relaxed

- energy above the most stable polymorph in this dataset (eV/atom) = 0.0535
- formation energy from the elements (eV per atom) = 0.0535
- M_tot (μB/f.u.) = 0.00
- E_tot (eV per formula unit) = -4.04
- DOS at the Fermi energy (states/eV/atom) = 0.42

```
data_Al
_chemical_formula_sum 'Al9'
_cell_length_a 7.8693
_cell_length_b 7.8693
_cell_length_c 2.7711
_cell_angle_alpha 90.00
_cell_angle_beta 90.00
_cell_angle_gamma 120.00
_symmetry_space_group_name_H-M 'P 1'
_symmetry_Int_Tables_number 1
loop_
_symmetry_equiv_pos_as_xyz
'x,y,z'
loop_
_atom_site_label
_atom_site_type_symbol
_atom_site_fract_x
_atom_site_fract_y
_atom_site_fract_z
Al1 Al 0.0000 0.0000 0.0000
Al2 Al 0.0000 0.3020 0.5000
Al3 Al 0.0000 0.6342 0.0000
Al4 Al 0.3020 0.0000 0.5000
Al5 Al 0.3333 0.6667 0.5000
Al6 Al 0.3658 0.3658 0.0000
Al7 Al 0.6342 0.0000 0.0000
Al8 Al 0.6667 0.3333 0.5000
Al9 Al 0.6980 0.6980 0.5000
```

***

# 12
Material: Al
Method: DFT, GGA-PBEsol
State: relaxed

- energy above the most stable polymorph in this dataset (eV/atom) = 0.0986
- formation energy from the elements (eV per atom) = 0.0986
- M_tot (μB/f.u.) = 0.00
- E_tot (eV per formula unit) = -3.99
- DOS at the Fermi energy (states/eV/atom) = 0.42

```
data_Al
_chemical_formula_sum 'Al2'
_cell_length_a 3.2069
_cell_length_b 3.2069
_cell_length_c 3.2069
_cell_angle_alpha 90.00
_cell_angle_beta 90.00
_cell_angle_gamma 90.00
_symmetry_space_group_name_H-M 'P 1'
_symmetry_Int_Tables_number 1
loop_
_symmetry_equiv_pos_as_xyz
'x,y,z'
loop_
_atom_site_label
_atom_site_type_symbol
_atom_site_fract_x
_atom_site_fract_y
_atom_site_fract_z
Al1 Al 0.0000 0.0000 0.0000
Al2 Al 0.5000 0.5000 0.5000
```